1.
DFT (PBE) results for a relaxed Tm3MgAg3 crystal.

Cell lengths 7.0036, 7.0036, 7.0243 Å; angles 91.68, 91.68, 96.25 degrees
Atoms (fractional coordinates):
Tm (0.1724, 0.8276, 0.0000)
Tm (0.2632, 0.7368, 0.5000)
Tm (0.3612, 0.3612, 0.1426)
Tm (0.6388, 0.6388, 0.8574)
Tm (0.7368, 0.2632, 0.5000)
Tm (0.8276, 0.1724, 0.0000)
Mg (0.2742, 0.2742, 0.6430)
Mg (0.7258, 0.7258, 0.3570)
Ag (0.0158, 0.4982, 0.7769)
Ag (0.0797, 0.0797, 0.3278)
Ag (0.4982, 0.0158, 0.7769)
Ag (0.5018, 0.9842, 0.2231)
Ag (0.9203, 0.9203, 0.6722)
Ag (0.9842, 0.5018, 0.2231)

Calculated values
VASP energy (eV/atom): -3.50
Energy relative to the elements (eV/atom): -0.13
Magnetic moment (μB per formula unit): 0.00
Calculated density (g/cm3): 8.30
Space group: C2/m

***

2.
DFT (PBE) results for a relaxed CaTm2Zn9 crystal.

Cell lengths 9.0585, 9.0585, 9.0585 Å; angles 35.13, 35.13, 35.13 degrees
Atoms (fractional coordinates):
Ca (0.0000, 0.0000, 0.0000)
Tm (0.1427, 0.1427, 0.1427)
Tm (0.8573, 0.8573, 0.8573)
Zn (0.0761, 0.5878, 0.5878)
Zn (0.3354, 0.3354, 0.3354)
Zn (0.4122, 0.4122, 0.9239)
Zn (0.4122, 0.9239, 0.4122)
Zn (0.5000, 0.5000, 0.5000)
Zn (0.5878, 0.0761, 0.5878)
Zn (0.5878, 0.5878, 0.0761)
Zn (0.6646, 0.6646, 0.6646)
Zn (0.9239, 0.4122, 0.4122)

Calculated values
VASP energy (eV/atom): -2.15
Energy relative to the elements (eV/atom): -0.28
Magnetic moment (μB per formula unit): 0.00
Calculated density (g/cm3): 7.30
Space group: R-3m

***

3.
DFT (PBE) results for a relaxed Zn8Ag5Pd crystal.

Cell lengths 6.7677, 6.7677, 6.7677 Å; angles 107.18, 107.18, 114.16 degrees
Atoms (fractional coordinates):
Zn (0.0869, 0.3799, 0.6011)
Zn (0.1161, 0.4526, 0.0826)
Zn (0.3701, 0.0335, 0.9174)
Zn (0.5142, 0.9131, 0.2929)
Zn (0.5474, 0.6299, 0.6634)
Zn (0.6201, 0.2213, 0.7071)
Zn (0.7787, 0.4858, 0.3989)
Zn (0.9665, 0.8839, 0.3366)
Ag (0.3002, 0.2171, 0.2728)
Ag (0.5000, 0.5000, 0.0000)
Ag (0.7829, 0.0557, 0.0830)
Ag (0.9443, 0.0274, 0.7272)
Ag (0.9726, 0.6998, 0.9170)
Pd (0.2500, 0.7500, 0.5000)

Calculated values
VASP energy (eV/atom): -2.12
Energy relative to the elements (eV/atom): 0.00
Magnetic moment (μB per formula unit): 0.00
Calculated density (g/cm3): 8.18
Space group: I-4

***

4.
DFT (PBE) results for a relaxed ReAu2Se crystal.

Cell lengths 9.9423, 9.9423, 9.9423 Å; angles 16.77, 16.77, 16.77 degrees
Atoms (fractional coordinates):
Re (0.0000, 0.0000, 0.0000)
Au (0.2561, 0.2561, 0.2561)
Au (0.7439, 0.7439, 0.7439)
Se (0.5000, 0.5000, 0.5000)

Calculated values
VASP energy (eV/atom): -5.07
E_form (uncorrected) (eV/atom): 0.55
Magnetic moment (μB per formula unit): 0.00
Calculated density (g/cm3): 15.34
Space group: R-3m

***

5.
DFT (PBE) results for a relaxed Pr5YHo2Sc crystal.

Cell lengths 11.3169, 11.3169, 10.3155 Å; angles 90.00, 90.00, 152.33 degrees
Atoms (fractional coordinates):
Pr (0.9998, 0.0002, 0.0000)
Pr (0.0002, 0.9998, 0.5000)
Pr (0.1271, 0.8729, 0.7494)
Pr (0.2212, 0.7788, 0.0605)
Pr (0.2222, 0.7778, 0.4365)
Pr (0.4991, 0.5009, 0.2498)
Pr (0.5009, 0.4991, 0.7498)
Pr (0.7778, 0.2222, 0.9365)
Pr (0.7788, 0.2212, 0.5605)
Pr (0.8729, 0.1271, 0.2494)
Y (0.1020, 0.8980, 0.2497)
Y (0.8980, 0.1020, 0.7497)
Ho (0.3842, 0.6158, 0.9966)
Ho (0.3850, 0.6150, 0.5029)
Ho (0.6150, 0.3850, 0.0029)
Ho (0.6158, 0.3842, 0.4966)
Sc (0.2877, 0.7123, 0.7486)
Sc (0.7123, 0.2877, 0.2486)

Calculated values
VASP energy (eV/atom): -4.97
Energy relative to the elements (eV/atom): 0.13
Magnetic moment (μB per formula unit): 0.00
Calculated density (g/cm3): 6.32
Space group: Cmc2_1

***

6.
DFT (PBE) results for a relaxed CdGaAs2O8 crystal.

Cell lengths 5.7935, 5.7935, 5.7935 Å; angles 106.84, 106.84, 114.87 degrees
Atoms (fractional coordinates):
Cd (0.0000, 0.0000, 0.0000)
Ga (0.7500, 0.2500, 0.5000)
As (0.2500, 0.7500, 0.5000)
As (0.5000, 0.5000, 0.0000)
O (0.0549, 0.3782, 0.3233)
O (0.0549, 0.7315, 0.6767)
O (0.1307, 0.3248, 0.8059)
O (0.2685, 0.9451, 0.3233)
O (0.5189, 0.3248, 0.1941)
O (0.6218, 0.9451, 0.6767)
O (0.6752, 0.4811, 0.8059)
O (0.6752, 0.8693, 0.1941)

Calculated values
VASP energy (eV/atom): -5.41
E_form (uncorrected) (eV/atom): -1.00
Magnetic moment (μB per formula unit): 1.09
Calculated density (g/cm3): 5.14
Space group: I-4m2

***

7.
DFT (PBE) results for a relaxed Sc3MnTl3S8 crystal.

Cell lengths 8.7135, 8.7135, 8.7135 Å; angles 50.29, 50.29, 50.29 degrees
Atoms (fractional coordinates):
Sc (0.0000, 0.5000, 0.5000)
Sc (0.5000, 0.0000, 0.5000)
Sc (0.5000, 0.5000, 0.0000)
Mn (0.0000, 0.0000, 0.0000)
Tl (0.0000, 0.0000, 0.5000)
Tl (0.0000, 0.5000, 0.0000)
Tl (0.5000, 0.0000, 0.0000)
S (0.2153, 0.2153, 0.7485)
S (0.2153, 0.7485, 0.2153)
S (0.2515, 0.7847, 0.7847)
S (0.2703, 0.2703, 0.2703)
S (0.7297, 0.7297, 0.7297)
S (0.7485, 0.2153, 0.2153)
S (0.7847, 0.2515, 0.7847)
S (0.7847, 0.7847, 0.2515)

Calculated values
VASP energy (eV/atom): -5.72
E_form (uncorrected) (eV/atom): -1.17
Magnetic moment (μB per formula unit): 3.03
Calculated density (g/cm3): 4.88
Space group: R-3m

***

8.
DFT (PBE) results for a relaxed Ac5LaTl2Co crystal.

Cell lengths 11.2900, 11.2900, 14.6175 Å; angles 90.00, 90.00, 159.64 degrees
Atoms (fractional coordinates):
Ac (0.0072, 0.9928, 0.5000)
Ac (0.1392, 0.8608, 0.8701)
Ac (0.2236, 0.7764, 0.4995)
Ac (0.2336, 0.7664, 0.2198)
Ac (0.3879, 0.6121, 0.8414)
Ac (0.6121, 0.3879, 0.3414)
Ac (0.7664, 0.2336, 0.7198)
Ac (0.7764, 0.2236, 0.9995)
Ac (0.8608, 0.1392, 0.3701)
Ac (0.9928, 0.0072, 0.0000)
La (0.0003, 0.9997, 0.2295)
La (0.9997, 0.0003, 0.7295)
Tl (0.3856, 0.6144, 0.5911)
Tl (0.3878, 0.6122, 0.1397)
Tl (0.6122, 0.3878, 0.6397)
Tl (0.6144, 0.3856, 0.0911)
Co (0.2635, 0.7365, 0.8611)
Co (0.7365, 0.2635, 0.3611)

Calculated values
VASP energy (eV/atom): -4.24
Energy relative to the elements (eV/atom): -0.10
Magnetic moment (μB per formula unit): 0.00
Calculated density (g/cm3): 8.92
Space group: Cmc2_1